No. 1
VASP calculation (PBE-GGA) on a geometry-optimized La3Ce3NdTe8 structure.

a = 9.0156 Å, b = 9.0160 Å, c = 9.0903 Å
α = 119.73°, β = 89.99°, γ = 120.01°
Last column: nearest neighbours and their distance in Å.
Positions (direct):
1 La 0.0000 0.0000 0.0000  6 Te 3.22
2 La 0.0000 0.5000 0.0000  6 Te 3.22
3 Ce 0.5000 0.5000 0.5000  6 Te 3.18
4 Ce 0.5000 0.0000 0.5000  6 Te 3.18
5 Ce 0.0000 0.5000 0.5000  6 Te 3.18
6 Te 0.2529 0.9967 0.7496  2 Ce 3.18, 2 La 3.22, 1 Nd 3.24
7 Te 0.7437 0.9966 0.7496  2 Ce 3.18, 2 La 3.22, 1 Nd 3.24
8 Te 0.2563 0.0034 0.2504  2 Ce 3.18, 2 La 3.22, 1 Nd 3.24
9 Te 0.7471 0.0033 0.2504  2 Ce 3.18, 2 La 3.22, 1 Nd 3.24
10 Te 0.7484 0.4967 0.7451  3 Ce 3.18, 3 La 3.22
11 Te 0.7470 0.4940 0.2504  2 Ce 3.18, 2 La 3.22, 1 Nd 3.24
12 La 0.5000 0.5000 0.0000  6 Te 3.22
13 Te 0.2516 0.5033 0.2549  3 Ce 3.18, 3 La 3.22
14 Te 0.2530 0.5060 0.7496  2 Ce 3.18, 2 La 3.22, 1 Nd 3.24
15 Nd 0.0000 0.0000 0.5000  6 Te 3.24

No. 2
VASP calculation (PBE-GGA) on a geometry-optimized La3Ce2NdTe6 structure.

a = 7.8368 Å, b = 7.8368 Å, c = 7.9092 Å
α = 99.51°, β = 99.51°, γ = 120.09°
Last column: nearest neighbours and their distance in Å.
Positions (direct):
1 Te 0.4161 0.0817 0.2452  2 Ce 3.18-3.19, 1 Nd 3.20, 3 La 3.23-3.24
2 Te 0.5839 0.9183 0.7548  2 Ce 3.18-3.19, 1 Nd 3.20, 3 La 3.23-3.24
3 Nd 0.0000 0.0000 0.0000  6 Te 3.19-3.20
4 Te 0.9183 0.5839 0.7548  2 Ce 3.18-3.19, 1 Nd 3.20, 3 La 3.23-3.24
5 Te 0.2531 0.2531 0.7561  2 Ce 3.18, 1 Nd 3.19, 3 La 3.22-3.23
6 Te 0.0817 0.4161 0.2452  2 Ce 3.18-3.19, 1 Nd 3.20, 3 La 3.23-3.24
7 Te 0.7469 0.7469 0.2439  2 Ce 3.18, 1 Nd 3.19, 3 La 3.22-3.23
8 La 0.8351 0.1649 0.5000  6 Te 3.22-3.24
9 Ce 0.3334 0.6666 0.0000  6 Te 3.18-3.19
10 Ce 0.6666 0.3334 0.0000  6 Te 3.18-3.19
11 La 0.1649 0.8351 0.5000  6 Te 3.22-3.24
12 La 0.5000 0.5000 0.5000  6 Te 3.23

No. 3
VASP calculation (PBE-GGA) on a geometry-optimized La2Ce3NdTe6 structure.

a = 7.8002 Å, b = 7.8002 Å, c = 7.9020 Å
α = 99.48°, β = 99.48°, γ = 120.07°
Last column: nearest neighbours and their distance in Å.
Positions (direct):
1 La 0.3339 0.6661 0.0000  6 Te 3.22-3.23
2 Te 0.9159 0.5851 0.7470  3 Ce 3.18-3.19, 1 Nd 3.20, 2 La 3.22-3.23
3 Te 0.7547 0.7547 0.2549  3 Ce 3.18-3.20, 1 Nd 3.20, 2 La 3.22
4 Te 0.2453 0.2453 0.7451  3 Ce 3.18-3.20, 1 Nd 3.20, 2 La 3.22
5 Te 0.4149 0.0841 0.2530  3 Ce 3.18-3.19, 1 Nd 3.20, 2 La 3.22-3.23
6 Te 0.5851 0.9159 0.7470  3 Ce 3.18-3.19, 1 Nd 3.20, 2 La 3.22-3.23
7 Te 0.0841 0.4149 0.2530  3 Ce 3.18-3.19, 1 Nd 3.20, 2 La 3.22-3.23
8 Ce 0.5000 0.5000 0.5000  6 Te 3.18-3.20
9 Ce 0.1679 0.8321 0.5000  6 Te 3.18-3.19
10 Nd 0.0000 0.0000 0.0000  6 Te 3.20
11 Ce 0.8321 0.1679 0.5000  6 Te 3.18-3.19
12 La 0.6661 0.3339 0.0000  6 Te 3.22-3.23

Record order is preserved below.
E_form (uncorrected): -1.4920, -1.4925, -1.4548 eV per atom